[1]
Here is a geometry-optimized KGaHg2Sb structure from Alexandria via LeMat-Bulk. Energies are from PBE.

Cell and atoms, written as POSCAR:
```
KGaHg2Sb
1.0
5.566 0.000 0.000
0.000 5.566 0.000
0.000 0.000 5.451
K Ga Hg Sb
1 1 2 1
Direct
0.000 0.000 0.000
0.500 0.500 0.500
0.000 0.500 0.500
0.500 0.000 0.500
0.500 0.500 0.000
```

VASP energy (eV per atom): -1.831
Density (g cm⁻³): 6.2
Formation energy from raw total energies (eV/f.u.): -0.3
SG: P4/mmm (123)

=====

[2]
Here is a geometry-optimized RbCd2Pt structure from Alexandria via LeMat-Bulk. Energies are from PBE.

Cell and atoms, written as POSCAR:
```
RbCd2Pt
1.0
4.760 0.000 0.000
-2.380 4.122 0.000
0.000 0.000 19.102
Rb Cd Pt
3 6 3
Direct
0.000 0.000 0.000
0.333 0.667 0.667
0.667 0.333 0.333
0.000 0.000 0.195
0.000 0.000 0.805
0.333 0.667 0.472
0.333 0.667 0.862
0.667 0.333 0.138
0.667 0.333 0.528
0.000 0.000 0.500
0.333 0.667 0.167
0.667 0.333 0.833
```

VASP energy (eV per atom): -2.402
Density (g cm⁻³): 6.7
ΔE_f (eV per atom): -0.192
SG: R-3m (166)

=====

[3]
Here is a geometry-optimized CaMoCl2 structure from Alexandria via LeMat-Bulk. Energies are from PBE.

Cell and atoms, written as POSCAR:
```
CaMoCl2
1.0
4.702 0.000 0.000
0.000 4.702 0.000
0.000 0.000 3.377
Ca Mo Cl
1 1 2
Direct
0.000 0.000 0.000
0.500 0.500 0.000
0.000 0.500 0.500
0.500 0.000 0.500
```

VASP energy (eV per atom): -4.297
Density (g cm⁻³): 4.6
Formation energy from raw total energies (eV/f.u.): -0.7
SG: P4/mmm (123)

=====

[4]
Here is a geometry-optimized AcBeGa2 structure from Alexandria via LeMat-Bulk. Energies are from PBE.

Cell and atoms, written as POSCAR:
```
AcBeGa2
1.0
4.140 0.000 0.000
-2.070 3.585 0.000
0.000 0.000 17.483
Ac Be Ga
3 3 6
Direct
0.000 0.000 0.000
0.333 0.667 0.667
0.667 0.333 0.333
0.000 0.000 0.500
0.333 0.667 0.167
0.667 0.333 0.833
0.000 0.000 0.208
0.000 0.000 0.792
0.333 0.667 0.459
0.333 0.667 0.875
0.667 0.333 0.125
0.667 0.333 0.541
```

VASP energy (eV per atom): -3.783
Density (g cm⁻³): 7.2
ΔE_f (eV per atom): -0.311
SG: R-3m (166)

=====

[5]
Here is a geometry-optimized MgGePd3 structure from Alexandria via LeMat-Bulk. Energies are from PBE.

Cell and atoms, written as POSCAR:
```
MgGePd3
1.0
8.216 -4.511 0.000
8.216 4.511 0.000
-1.181 0.000 4.244
Mg Ge Pd
4 4 12
Direct
0.074 0.321 0.446
0.321 0.074 0.946
0.679 0.926 0.054
0.926 0.679 0.554
0.125 0.875 0.750
0.380 0.620 0.250
0.620 0.380 0.750
0.875 0.125 0.250
0.031 0.786 0.159
0.177 0.415 0.044
0.214 0.969 0.341
0.277 0.541 0.657
0.415 0.177 0.544
0.459 0.723 0.843
0.541 0.277 0.157
0.585 0.823 0.456
0.723 0.459 0.343
0.786 0.031 0.659
0.823 0.585 0.956
0.969 0.214 0.841
```

VASP energy (eV per atom): -4.826
Density (g cm⁻³): 8.8
ΔE_f (eV per atom): -0.468
SG: C2/c (15)

=====

[6]
Here is a geometry-optimized LaPaSnHg structure from Alexandria via LeMat-Bulk. Energies are from PBE.

Cell and atoms, written as POSCAR:
```
LaPaSnHg
1.0
7.675 0.000 0.000
0.000 7.675 0.000
0.000 0.000 7.675
La Pa Sn Hg
4 4 4 4
Direct
0.000 0.000 0.000
0.000 0.500 0.500
0.500 0.000 0.500
0.500 0.500 0.000
0.000 0.000 0.500
0.000 0.500 0.000
0.500 0.000 0.000
0.500 0.500 0.500
0.250 0.250 0.250
0.250 0.750 0.750
0.750 0.250 0.750
0.750 0.750 0.250
0.250 0.250 0.750
0.250 0.750 0.250
0.750 0.250 0.250
0.750 0.750 0.750
```

VASP energy (eV per atom): -4.866
Density (g cm⁻³): 10.1
ΔE_f (eV per atom): -0.184
SG: F-43m (216)

=====

[7]
Here is a geometry-optimized LaEuNiPd structure from Alexandria via LeMat-Bulk. Energies are from PBE.

Cell and atoms, written as POSCAR:
```
LaEuNiPd
1.0
7.188 0.000 0.000
0.000 7.188 0.000
0.000 0.000 7.188
La Eu Ni Pd
4 4 4 4
Direct
0.000 0.000 0.000
0.000 0.500 0.500
0.500 0.000 0.500
0.500 0.500 0.000
0.000 0.000 0.500
0.000 0.500 0.000
0.500 0.000 0.000
0.500 0.500 0.500
0.250 0.250 0.750
0.250 0.750 0.250
0.750 0.250 0.250
0.750 0.750 0.750
0.250 0.250 0.250
0.250 0.750 0.750
0.750 0.250 0.750
0.750 0.750 0.250
```

VASP energy (eV per atom): -6.980
Density (g cm⁻³): 8.2
ΔE_f (eV per atom): -0.436
SG: F-43m (216)

=====

[8]
Here is a geometry-optimized K2SiW structure from Alexandria via LeMat-Bulk. Energies are from PBE.

Cell and atoms, written as POSCAR:
```
K2SiW
1.0
5.426 0.000 0.000
0.000 12.003 0.000
-1.183 0.000 2.624
K Si W
4 2 2
Direct
0.250 0.250 0.000
0.250 0.750 0.000
0.750 0.250 0.000
0.750 0.750 0.000
0.000 0.000 0.500
0.500 0.500 0.500
0.000 0.500 0.500
0.500 0.000 0.500
```

VASP energy (eV per atom): -3.949
Density (g cm⁻³): 5.6
Formation energy from raw total energies (eV/f.u.): 4.8
SG: C2/m (12)